Here is YTi2Rh after structural relaxation from Alexandria. Energies are from GGA-PBE.

a = 7.579 Å, b = 7.579 Å, c = 6.091 Å
α = 51.52°, β = 51.52°, γ = 90.00°
Fractional positions:
Y  0.500  0.500  0.000
Y  0.250  0.750  0.500
Rh  0.000  0.000  0.000
Rh  0.750  0.250  0.500
Ti  0.689  0.125  0.250
Ti  0.061  0.625  0.250
Ti  0.375  0.311  0.750
Ti  0.875  0.939  0.750

Calculated values
Raw total energy ... -59.979 eV per cell
Energy relative to the lowest polymorph listed for this composition ... 0 meV per atom
DFT formation energy ... -0.096 eV/atom

=====

Here is CaAc2Ga6Co after structural relaxation from Alexandria. Energies are from GGA-PBE.

a = 6.173 Å, b = 6.517 Å, c = 6.517 Å
α = 120.00°, β = 90.00°, γ = 90.00°
Each line ends with the local moment (μB).
Fractional positions:
Ca  0.500  0.000  0.000  0.00
Ac  0.333  0.333  0.667  0.01
Ac  0.667  0.667  0.333  0.01
Ga  0.835  0.196  0.392  0.00
Ga  0.835  0.196  0.804  0.00
Ga  0.835  0.608  0.804  0.00
Ga  0.165  0.804  0.196  0.00
Ga  0.165  0.392  0.196  0.00
Ga  0.165  0.804  0.608  0.00
Co  0.000  0.000  0.000  0.47

Calculated values
Raw total energy ... -40.422 eV per cell
DFT formation energy ... -0.494 eV/atom

=====

Here is Er2Al5Cu5 after structural relaxation from Alexandria. Energies are from GGA-PBE.

a = 4.115 Å, b = 5.261 Å, c = 8.967 Å
α = 90.00°, β = 90.00°, γ = 90.00°
Fractional positions:
Er  0.000  0.500  0.000
Er  0.000  0.000  0.500
Al  0.500  0.500  0.500
Al  0.500  0.751  0.239
Al  0.500  0.249  0.761
Al  0.500  0.249  0.239
Al  0.500  0.751  0.761
Cu  0.000  0.500  0.333
Cu  0.000  0.000  0.834
Cu  0.000  0.000  0.166
Cu  0.000  0.500  0.667
Cu  0.500  0.000  0.000

Calculated values
Raw total energy ... -53.497 eV per cell
DFT formation energy ... -0.431 eV/atom

=====

Here is AgTeCl after structural relaxation from Alexandria. Energies are from GGA-PBE.

a = 3.651 Å, b = 3.651 Å, c = 6.895 Å
α = 90.00°, β = 90.00°, γ = 120.00°
Fractional positions:
Te  0.333  0.667  0.734
Ag  0.000  0.000  0.019
Cl  0.667  0.333  0.247

Calculated values
Raw total energy ... -8.137 eV per cell
Energy relative to the elements, uncorrected ... -0.099 eV per atom
Energy relative to the lowest polymorph listed for this composition ... 165 meV per atom

=====

Here is PrY2Cu after structural relaxation from Alexandria. Energies are from GGA-PBE.

a = 6.562 Å, b = 6.908 Å, c = 10.025 Å
α = 90.00°, β = 90.00°, γ = 90.00°
Fractional positions:
Pr  0.638  0.509  0.250
Pr  0.862  0.009  0.250
Pr  0.362  0.491  0.750
Pr  0.138  0.991  0.750
Y  0.179  0.681  0.058
Y  0.321  0.181  0.442
Y  0.821  0.319  0.558
Y  0.679  0.819  0.942
Y  0.821  0.319  0.942
Y  0.679  0.819  0.558
Y  0.179  0.681  0.442
Y  0.321  0.181  0.058
Cu  0.073  0.393  0.250
Cu  0.427  0.893  0.250
Cu  0.927  0.607  0.750
Cu  0.573  0.107  0.750

Calculated values
Raw total energy ... -88.639 eV per cell
Energy relative to the lowest polymorph listed for this composition ... 9 meV per atom
DFT formation energy ... -0.089 eV/atom

=====

Here is YAg2Ir after structural relaxation from Alexandria. Energies are from GGA-PBE.

a = 3.576 Å, b = 3.576 Å, c = 6.105 Å
α = 90.00°, β = 90.00°, γ = 90.01°
Fractional positions:
Ag  0.000  0.000  0.026
Ag  0.500  0.500  0.245
Ir  0.000  0.000  0.503
Y  0.500  0.500  0.726

Calculated values
Raw total energy ... -21.757 eV per cell
Energy relative to the lowest polymorph listed for this composition ... 104 meV per atom
DFT formation energy ... -0.182 eV/atom

=====

Here is TiZn2Ge after structural relaxation from Alexandria. Energies are from GGA-PBE.

a = 2.739 Å, b = 2.739 Å, c = 10.963 Å
α = 82.82°, β = 82.82°, γ = 60.00°
Fractional positions:
Ge  0.500  0.500  0.500
Zn  0.085  0.085  0.746
Zn  0.915  0.915  0.254
Ti  0.000  0.000  0.000

Calculated values
Raw total energy ... -13.566 eV per cell
DFT formation energy ... 0.374 eV/atom

=====

Here is VCdTe after structural relaxation from Alexandria. Energies are from GGA-PBE.

a = 5.995 Å, b = 5.994 Å, c = 7.978 Å
α = 113.02°, β = 97.87°, γ = 33.82°
Fractional positions:
Cd  0.641  0.719  0.289
Cd  0.359  0.281  0.711
V  0.200  0.626  0.463
V  0.800  0.374  0.537
Te  0.981  0.846  0.183
Te  0.019  0.154  0.817

Calculated values
Raw total energy ... -26.508 eV per cell
Energy relative to the elements, uncorrected ... -0.026 eV per atom

=====

Please write out number 6 again, unchanged.
Here is YAg2Ir after structural relaxation from Alexandria. Energies are from GGA-PBE.

a = 3.576 Å, b = 3.576 Å, c = 6.105 Å
α = 90.00°, β = 90.00°, γ = 90.01°
Fractional positions:
Ag  0.000  0.000  0.026
Ag  0.500  0.500  0.245
Ir  0.000  0.000  0.503
Y  0.500  0.500  0.726

Calculated values
Raw total energy ... -21.757 eV per cell
Energy relative to the lowest polymorph listed for this composition ... 104 meV per atom
DFT formation energy ... -0.182 eV/atom

=====

Question: The lowest raw total energy belongs to which entry?
Answer: PrY2Cu

=====

Question: raw total energy of number 1 (YTi2Rh)?
Answer: -59.979 eV per cell